LiAuBr2: optimized geometry, PBE-GGA.

Values from the calculation:
* total DFT energy (no corrections): -8.866 eV for the cell shown
* N(E_F): 2.15 states/eV/f.u.
* V: 23.2 Å³/atom
* polymorph energy (0 for the lowest one): 699 meV per atom
* raw formation energy: -0.082 eV per atom

abc: 5.0782 5.0782 5.0782
angles: 60.00 60.00 60.00
Sites, in units of the cell vectors:
Au: 0.5000 0.5000 0.5000
Br: 0.7500 0.7500 0.7500
Br: 0.0000 0.0000 0.0000
Li: 0.2500 0.2500 0.2500

=====

BeInFePt2: optimized geometry, PBE-GGA.

Values from the calculation:
* total DFT energy (no corrections): -25.760 eV for the cell shown
* N(E_F): 5.35 states/eV/f.u.
* V: 16.2 Å³/atom
* formation energy: 0.250 eV/atom

abc: 4.2078 4.5653 4.2078
angles: 90.00 90.00 90.00
Sites, in units of the cell vectors:
Pt: 0.0000 0.0000 0.5000
Pt: 0.5000 0.0000 0.0000
Fe: 0.5000 0.5000 0.5000
Be: 0.0000 0.0000 0.0000
In: 0.0000 0.5000 0.0000

=====

| no. | size of the total moment (μB per cell) |
| --- | --- |
| 1 | 0.00 |
| 2 | 3.03 |